Computed, not measured: a geometry-optimized TaMnHRu2 structure at the GGA-PBE level of DFT.

Values from the calculation:
The value obtained for the total magnetization is 2.50 μB/cell.

abc: 4.0004 4.0004 3.7433
angles: 90.00 90.00 90.00
Site moments in Bohr magnetons follow the coordinates.
Atoms (fractional coordinates):
1 Ru 0.0000 0.5000 0.0000  0.02
2 Ru 0.5000 0.0000 0.0000  0.02
3 Mn 0.0000 0.0000 0.5000  2.51
4 H 0.0000 0.0000 0.0000  -0.01
5 Ta 0.5000 0.5000 0.5000  -0.13

---

Computed, not measured: a geometry-optimized Ta2MnHRu structure at the GGA-PBE level of DFT.

Values from the calculation:
The value obtained for the total magnetization is 0.57 μB/cell.

abc: 4.2832 4.2832 3.5100
angles: 90.00 90.00 90.00
Site moments in Bohr magnetons follow the coordinates.
Atoms (fractional coordinates):
1 Ru 0.0000 0.0000 0.5000  -0.01
2 Mn 0.5000 0.5000 0.5000  0.84
3 H 0.0000 0.0000 0.0000  0.00
4 Ta 0.0000 0.5000 0.0000  -0.10
5 Ta 0.5000 0.0000 0.0000  -0.10

---

Computed, not measured: a geometry-optimized TaMnHRu2 structure at the GGA-PBE level of DFT.

Values from the calculation:
The value obtained for the total magnetization is 2.37 μB/cell.

abc: 3.9255 3.9255 3.9378
angles: 90.00 90.00 90.00
Site moments in Bohr magnetons follow the coordinates.
Atoms (fractional coordinates):
1 Ru 0.0000 0.5000 0.0000  -0.10
2 Ru 0.5000 0.0000 0.0000  -0.10
3 Mn 0.5000 0.5000 0.5000  2.63
4 H 0.0000 0.0000 0.0000  0.00
5 Ta 0.0000 0.0000 0.5000  -0.15

---

Computed, not measured: a geometry-optimized MnTcHRu2 structure at the GGA-PBE level of DFT.

Values from the calculation:
The value obtained for the total magnetization is 1.11 μB/cell.

abc: 3.8493 3.8493 3.8693
angles: 90.00 90.00 90.00
Site moments in Bohr magnetons follow the coordinates.
Atoms (fractional coordinates):
1 Ru 0.0000 0.5000 0.0000  -0.36
2 Ru 0.5000 0.0000 0.0000  -0.36
3 Mn 0.5000 0.5000 0.5000  2.47
4 Tc 0.0000 0.0000 0.5000  -0.66
5 H 0.0000 0.0000 0.0000  0.00

---

Computed, not measured: a geometry-optimized MnTc2HRu structure at the GGA-PBE level of DFT.

Values from the calculation:
The value obtained for the total magnetization is 1.29 μB/cell.

abc: 3.8717 3.8717 3.8174
angles: 90.00 90.00 90.00
Site moments in Bohr magnetons follow the coordinates.
Atoms (fractional coordinates):
1 Ru 0.5000 0.5000 0.5000  -0.26
2 Mn 0.0000 0.0000 0.5000  2.21
3 Tc 0.0000 0.5000 0.0000  -0.33
4 Tc 0.5000 0.0000 0.0000  -0.33
5 H 0.0000 0.0000 0.0000  -0.01

---

Computed, not measured: a geometry-optimized MnTcHRu2 structure at the GGA-PBE level of DFT.

Values from the calculation:
The value obtained for the total magnetization is 0.00 μB/cell.

abc: 3.8321 3.8321 3.7822
angles: 90.00 90.00 90.00
Atoms (fractional coordinates):
1 Ru 0.0000 0.5000 0.0000
2 Ru 0.5000 0.0000 0.0000
3 Mn 0.0000 0.0000 0.5000
4 Tc 0.5000 0.5000 0.5000
5 H 0.0000 0.0000 0.0000

---

Ordered DFT total energy results: -8.7640; -9.1650; -8.6688; -8.2123; -8.4511; -8.2075; unit eV/atom.